VASP calculation (GGA-PBE) on an optimized crystal structure of AcNd2DyHo5.

Cell: 8.838 8.838 9.987 Å, 116.26 116.26 90.00°
Atoms (fractional coordinates):
Ac (0.250, 0.250, 0.500)
Ac (0.750, 0.750, 0.500)
Ho (0.500, 0.500, 0.000)
Ho (0.340, 0.840, 0.267)
Ho (0.926, 0.426, 0.267)
Ho (0.160, 0.074, 0.733)
Ho (0.660, 0.160, 0.733)
Ho (0.840, 0.926, 0.267)
Ho (0.426, 0.340, 0.267)
Ho (0.074, 0.574, 0.733)
Ho (0.000, 0.000, 0.000)
Ho (0.574, 0.660, 0.733)
Dy (0.250, 0.750, 0.500)
Dy (0.750, 0.250, 0.500)
Nd (0.617, 0.117, 0.000)
Nd (0.383, 0.883, 0.000)
Nd (0.883, 0.617, 0.000)
Nd (0.117, 0.383, 0.000)

Output
Raw total energy in eV per atom: -4.31
Energy relative to the elements in eV/f.u.: 2.3